[1]
# CuSb2Rh PBE optimized geometry
# N(E_F) (states/eV per atom): 0.7371
# Formation energy without anion corrections (eV per atom): 0.33
data_CuSb2Rh
_chemical_formula_sum 'Cu4 Sb8 Rh4'
_symmetry_space_group_name_H-M 'F -4 3 m'
_symmetry_Int_Tables_number 216
_symmetry_space_group_name_Hall 'F -4 2 3'
_cell_length_a 6.7557
_cell_length_b 6.7557
_cell_length_c 6.7557
_cell_angle_alpha 90.00
_cell_angle_beta 90.00
_cell_angle_gamma 90.00
loop_
_atom_site_label
_atom_site_type_symbol
_atom_site_fract_x
_atom_site_fract_y
_atom_site_fract_z
_atom_site_occupancy
Cu1 Cu 0.0000 0.0000 0.0000 1
Sb1 Sb 0.0000 0.0000 0.5000 1
Sb2 Sb 0.2500 0.2500 0.7500 1
Rh1 Rh 0.2500 0.2500 0.2500 1

[2]
# Cu2SbRh PBE optimized geometry
# N(E_F) (states/eV per atom): 0.4971
# Formation energy without anion corrections (eV per atom): -0.11
data_Cu2SbRh
_chemical_formula_sum 'Cu4 Sb2 Rh2'
_symmetry_space_group_name_H-M 'I -4 m 2'
_symmetry_Int_Tables_number 119
_symmetry_space_group_name_Hall 'I -4 -2'
_cell_length_a 3.8808
_cell_length_b 3.8808
_cell_length_c 7.8784
_cell_angle_alpha 90.00
_cell_angle_beta 90.00
_cell_angle_gamma 90.00
loop_
_atom_site_label
_atom_site_type_symbol
_atom_site_fract_x
_atom_site_fract_y
_atom_site_fract_z
_atom_site_occupancy
Cu1 Cu 0.0000 0.0000 0.0000 1
Cu2 Cu 0.0000 0.5000 0.2500 1
Sb1 Sb 0.0000 0.5000 0.7500 1
Rh1 Rh 0.0000 0.0000 0.5000 1

[3]
# CuSb2Rh2 PBE optimized geometry
# N(E_F) (states/eV per atom): 0.5014
# Formation energy without anion corrections (eV per atom): -0.13
data_CuSb2Rh2
_chemical_formula_sum 'Cu2 Sb4 Rh4'
_symmetry_space_group_name_H-M 'P 4/m b m'
_symmetry_Int_Tables_number 127
_symmetry_space_group_name_Hall '-P 4 2ab'
_cell_length_a 7.1339
_cell_length_b 7.1339
_cell_length_c 3.5381
_cell_angle_alpha 90.00
_cell_angle_beta 90.00
_cell_angle_gamma 90.00
loop_
_atom_site_label
_atom_site_type_symbol
_atom_site_fract_x
_atom_site_fract_y
_atom_site_fract_z
_atom_site_occupancy
Cu1 Cu 0.0000 0.0000 0.0000 1
Sb1 Sb 0.1603 0.3397 0.5000 1
Rh1 Rh 0.1421 0.6421 0.0000 1

[4]
# CuSbRh PBE optimized geometry
# N(E_F) (states/eV per atom): 0.6437
# Formation energy without anion corrections (eV per atom): -0.16
data_CuSbRh
_chemical_formula_sum 'Cu4 Sb4 Rh4'
_symmetry_space_group_name_H-M 'F -4 3 m'
_symmetry_Int_Tables_number 216
_symmetry_space_group_name_Hall 'F -4 2 3'
_cell_length_a 6.0507
_cell_length_b 6.0507
_cell_length_c 6.0507
_cell_angle_alpha 90.00
_cell_angle_beta 90.00
_cell_angle_gamma 90.00
loop_
_atom_site_label
_atom_site_type_symbol
_atom_site_fract_x
_atom_site_fract_y
_atom_site_fract_z
_atom_site_occupancy
Cu1 Cu 0.0000 0.0000 0.0000 1
Sb1 Sb 0.0000 0.0000 0.5000 1
Rh1 Rh 0.2500 0.2500 0.2500 1

[5]
# Cu2SbRh PBE optimized geometry
# N(E_F) (states/eV per atom): 0.4308
# Formation energy without anion corrections (eV per atom): 0.19
data_Cu2SbRh
_chemical_formula_sum 'Cu8 Sb4 Rh4'
_symmetry_space_group_name_H-M 'I -4 2 d'
_symmetry_Int_Tables_number 122
_symmetry_space_group_name_Hall 'I -4 2bw'
_cell_length_a 7.1714
_cell_length_b 7.1714
_cell_length_c 5.1247
_cell_angle_alpha 90.00
_cell_angle_beta 90.00
_cell_angle_gamma 90.00
loop_
_atom_site_label
_atom_site_type_symbol
_atom_site_fract_x
_atom_site_fract_y
_atom_site_fract_z
_atom_site_occupancy
Cu1 Cu 0.2434 0.7500 0.1250 1
Sb1 Sb 0.0000 0.0000 0.5000 1
Rh1 Rh 0.0000 0.0000 0.0000 1

[6]
# CuSbRh PBE optimized geometry
# N(E_F) (states/eV per atom): 0.5753
# Formation energy without anion corrections (eV per atom): -0.09
data_CuSbRh
_chemical_formula_sum 'Cu12 Sb12 Rh12'
_symmetry_space_group_name_H-M 'C 1 2/c 1'
_symmetry_Int_Tables_number 15
_cell_length_a 17.2133
_cell_length_b 4.8814
_cell_length_c 7.6959
_cell_angle_alpha 90.00
_cell_angle_beta 111.71
_cell_angle_gamma 90.00
loop_
_symmetry_equiv_pos_as_xyz
'x,y,z'
'-x,-y,-z'
'-x,y,-z+1/2'
'x,-y,z+1/2'
'x+1/2,y+1/2,z'
'-x+1/2,-y+1/2,-z'
'-x+1/2,y+1/2,-z+1/2'
'x+1/2,-y+1/2,z+1/2'
loop_
_atom_site_label
_atom_site_type_symbol
_atom_site_fract_x
_atom_site_fract_y
_atom_site_fract_z
_atom_site_occupancy
Cu1 Cu 0.0944 0.2053 0.3376 1
Cu2 Cu 0.2500 0.2500 0.5000 1
Sb1 Sb 0.0000 0.3638 0.7500 1
Sb2 Sb 0.1693 0.1920 0.0925 1
Rh1 Rh 0.0000 0.0000 0.0000 1
Rh2 Rh 0.1594 0.3170 0.7360 1

Q: What is the formula in the fifth record?
A: Cu2SbRh